{"formula": "CuMoIrO6", "functional": "PBE+U", "state": "optimized geometry", "cell": [[-4.464, 0.103, 2.229], [2.472, -4.313, -0.438], [4.093, 1.520, 8.125]], "species": ["O", "O", "O", "O", "O", "O", "O", "O", "O", "O", "O", "O", "Cu", "Cu", "Mo", "Mo", "Ir", "Ir"], "frac_coords": [[0.344, 0.008, 0.628], [0.336, 0.344, 0.372], [0.008, 0.664, 0.372], [0.992, 0.336, 0.628], [0.664, 0.656, 0.628], [0.656, 0.992, 0.372], [0.336, 0.992, 0.128], [0.008, 0.344, 0.128], [0.992, 0.656, 0.872], [0.664, 0.008, 0.872], [0.344, 0.336, 0.872], [0.656, 0.664, 0.128], [0.000, 0.000, 0.000], [0.000, 0.000, 0.500], [0.667, 0.333, 0.750], [0.333, 0.667, 0.250], [0.667, 0.333, 0.250], [0.333, 0.667, 0.750]], "dft_energy_ev_per_atom": -6.45, "vol_a3_per_cell": 199, "density_g_cm3": 7.47, "dos_at_fermi_per_ev_atom": 0.68, "magmom_total_mub_per_cell": 0.0}